No. 1
Density functional theory data (GGA-PBEsol) for an optimized crystal structure of LaNi2Ir.

M_tot: 0.34 μB per formula unit
volume: 15.817 Å³/atom
E_tot: -6.809 eV per atom
space group: P4mm (99)
formation energy from the elements: 0.0622 eV/atom

Cell: 3.0945 3.0945 6.6068 Å, 90.00 90.00 90.00°
Sites, in units of the cell vectors:
1 Ni 0.0000 0.0000 0.0649
2 Ni 0.5000 0.5000 0.2402
3 Ir 0.0000 0.0000 0.4348
4 La 0.5000 0.5000 0.7601


No. 2
Density functional theory data (GGA-PBEsol) for an optimized crystal structure of AlFeO3.

M_tot: 5.01 μB per formula unit
volume: 9.377 Å³/atom
formation energy (no corrections): -2059 meV/atom
E_tot: -7.819 eV per atom
space group: R-3 (148)

Cell: 4.9091 4.9091 5.3123 Å, 62.48 62.48 60.00°
Sites, in units of the cell vectors:
1 O 0.7683 0.0543 0.7365
2 O 0.9457 0.5591 0.2635
3 O 0.2317 0.9457 0.2635
4 O 0.0543 0.4409 0.7365
5 O 0.5591 0.2317 0.2635
6 O 0.4409 0.7683 0.7365
7 Al 0.8465 0.8465 0.4606
8 Al 0.1535 0.1535 0.5394
9 Fe 0.3624 0.3624 0.9127
10 Fe 0.6376 0.6376 0.0873